First-principles (PBE-GGA) data for Y6Bi3TeSe2 after structural relaxation, as listed in Alexandria.

Cell lengths 7.505, 7.505, 7.497 Å; angles 99.64, 99.64, 119.81 degrees
Fractional positions:
Y 0.073 0.420 0.761
Y 0.229 0.229 0.229
Y 0.420 0.073 0.761
Y 0.580 0.927 0.239
Y 0.771 0.771 0.771
Y 0.927 0.580 0.239
Bi 0.000 0.000 0.500
Bi 0.340 0.660 0.500
Bi 0.660 0.340 0.500
Te 0.500 0.500 0.000
Se 0.168 0.832 0.000
Se 0.832 0.168 0.000

Properties
E_form (uncorrected)	-1.24	eV/atom
final energy	-75.4	eV/cell
space group	C2/m
volume	345.3	Å³/cell
calculated density	6.95	g cm⁻³

First-principles (PBE-GGA) data for Y6Bi2Te3Se after structural relaxation, as listed in Alexandria.

Cell lengths 9.800, 9.800, 8.729 Å; angles 102.98, 102.98, 25.65 degrees
Fractional positions:
Y 0.002 0.002 0.279
Y 0.335 0.335 0.917
Y 0.348 0.348 0.425
Y 0.652 0.652 0.575
Y 0.665 0.665 0.083
Y 0.998 0.998 0.721
Bi 0.167 0.167 0.833
Bi 0.833 0.833 0.167
Te 0.171 0.171 0.337
Te 0.500 0.500 0.000
Te 0.829 0.829 0.663
Se 0.500 0.500 0.500

Properties
E_form (uncorrected)	-1.26	eV/atom
final energy	-74.6	eV/cell
space group	C2/m
volume	353.2	Å³/cell
calculated density	6.64	g cm⁻³

First-principles (PBE-GGA) data for ZnBiTe2Se after structural relaxation, as listed in Alexandria.

Cell lengths 5.124, 5.124, 5.714 Å; angles 90.00, 90.00, 90.00 degrees
Fractional positions:
Zn 0.000 0.000 0.000
Bi 0.000 0.000 0.500
Te 0.000 0.500 0.000
Te 0.500 0.000 0.000
Se 0.500 0.500 0.500

Properties
E_form (uncorrected)	0.52	eV/atom
final energy	-12.3	eV/cell
space group	P4/mmm
volume	150.0	Å³/cell
calculated density	6.74	g cm⁻³

First-principles (PBE-GGA) data for Th6BiSe5 after structural relaxation, as listed in Alexandria.

Cell lengths 7.427, 7.427, 7.419 Å; angles 99.66, 99.66, 120.64 degrees
Fractional positions:
Th 0.058 0.409 0.732
Th 0.227 0.227 0.249
Th 0.409 0.058 0.732
Th 0.591 0.942 0.268
Th 0.773 0.773 0.751
Th 0.942 0.591 0.268
Bi 0.500 0.500 0.000
Se 0.000 0.000 0.500
Se 0.172 0.828 0.000
Se 0.348 0.652 0.500
Se 0.652 0.348 0.500
Se 0.828 0.172 0.000

Properties
E_form (uncorrected)	-1.36	eV/atom
final energy	-82.1	eV/cell
space group	C2/m
volume	331.3	Å³/cell
calculated density	10.00	g cm⁻³

First-principles (PBE-GGA) data for Th6Bi5Se after structural relaxation, as listed in Alexandria.

Cell lengths 7.855, 7.855, 7.822 Å; angles 99.58, 99.58, 119.74 degrees
Fractional positions:
Th 0.073 0.378 0.728
Th 0.218 0.218 0.257
Th 0.378 0.073 0.728
Th 0.622 0.927 0.272
Th 0.782 0.782 0.743
Th 0.927 0.622 0.272
Bi 0.182 0.818 0.000
Bi 0.338 0.662 0.500
Bi 0.500 0.500 0.000
Bi 0.662 0.338 0.500
Bi 0.818 0.182 0.000
Se 0.000 0.000 0.500

Properties
E_form (uncorrected)	-0.73	eV/atom
final energy	-76.2	eV/cell
space group	C2/m
volume	395.4	Å³/cell
calculated density	10.57	g cm⁻³

First-principles (PBE-GGA) data for ThBi3Se6 after structural relaxation, as listed in Alexandria.

Cell lengths 11.952, 4.158, 12.189 Å; angles 90.00, 100.35, 90.00 degrees
Fractional positions:
Th 0.185 0.250 0.033
Th 0.815 0.750 0.967
Bi 0.011 0.750 0.327
Bi 0.365 0.250 0.396
Bi 0.427 0.750 0.831
Bi 0.573 0.250 0.169
Bi 0.635 0.750 0.604
Bi 0.989 0.250 0.673
Se 0.051 0.750 0.894
Se 0.122 0.250 0.457
Se 0.199 0.750 0.217
Se 0.265 0.250 0.801
Se 0.378 0.750 0.055
Se 0.391 0.750 0.562
Se 0.609 0.250 0.438
Se 0.622 0.250 0.945
Se 0.735 0.750 0.199
Se 0.801 0.250 0.783
Se 0.878 0.750 0.543
Se 0.949 0.250 0.106

Properties
E_form (uncorrected)	-0.72	eV/atom
final energy	-94.4	eV/cell
space group	P2_1/m
volume	595.9	Å³/cell
calculated density	7.43	g cm⁻³

First-principles (PBE-GGA) data for Th5BiSe4 after structural relaxation, as listed in Alexandria.

Cell lengths 11.288, 11.288, 11.288 Å; angles 158.03, 148.72, 38.55 degrees
Fractional positions:
Th 0.000 0.000 0.000
Th 0.197 0.197 0.000
Th 0.388 0.388 0.000
Th 0.612 0.612 0.000
Th 0.803 0.803 0.000
Bi 0.500 0.000 0.500
Se 0.099 0.599 0.500
Se 0.293 0.793 0.500
Se 0.707 0.207 0.500
Se 0.901 0.401 0.500

Properties
E_form (uncorrected)	-1.31	eV/atom
final energy	-68.0	eV/cell
space group	Immm
volume	279.0	Å³/cell
calculated density	10.03	g cm⁻³

First-principles (PBE-GGA) data for Th3BiSe after structural relaxation, as listed in Alexandria.

Cell lengths 9.045, 4.188, 16.077 Å; angles 90.00, 90.00, 90.00 degrees
Fractional positions:
Th 0.044 0.250 0.121
Th 0.157 0.250 0.522
Th 0.222 0.750 0.279
Th 0.278 0.250 0.779
Th 0.343 0.750 0.022
Th 0.456 0.750 0.621
Th 0.544 0.250 0.379
Th 0.657 0.250 0.978
Th 0.722 0.750 0.221
Th 0.778 0.250 0.721
Th 0.843 0.750 0.478
Th 0.956 0.750 0.879
Bi 0.059 0.750 0.672
Bi 0.441 0.250 0.172
Bi 0.559 0.750 0.828
Bi 0.941 0.250 0.328
Se 0.154 0.250 0.947
Se 0.346 0.750 0.447
Se 0.654 0.250 0.553
Se 0.846 0.750 0.053

Properties
E_form (uncorrected)	-0.76	eV/atom
final energy	-133.6	eV/cell
space group	Pnma
volume	609.0	Å³/cell
calculated density	10.73	g cm⁻³

First-principles (PBE-GGA) data for Th3BiSe2 after structural relaxation, as listed in Alexandria.

Cell lengths 7.359, 7.359, 10.026 Å; angles 90.00, 90.00, 140.89 degrees
Fractional positions:
Th 0.125 0.875 0.750
Th 0.365 0.635 0.536
Th 0.365 0.635 0.964
Th 0.635 0.365 0.036
Th 0.635 0.365 0.464
Th 0.875 0.125 0.250
Bi 0.215 0.785 0.250
Bi 0.785 0.215 0.750
Se 0.000 0.000 0.000
Se 0.000 0.000 0.500
Se 0.485 0.515 0.250
Se 0.515 0.485 0.750

Properties
E_form (uncorrected)	-1.04	eV/atom
final energy	-78.6	eV/cell
space group	Cmcm
volume	342.5	Å³/cell
calculated density	10.31	g cm⁻³

First-principles (PBE-GGA) data for Th4Bi3Se after structural relaxation, as listed in Alexandria.

Cell lengths 7.817, 9.012, 7.798 Å; angles 90.00, 109.39, 90.00 degrees
Fractional positions:
Th 0.221 0.112 0.000
Th 0.221 0.888 0.500
Th 0.233 0.356 0.483
Th 0.233 0.644 0.983
Th 0.767 0.356 0.017
Th 0.767 0.644 0.517
Th 0.779 0.112 0.500
Th 0.779 0.888 0.000
Bi 0.000 0.378 0.750
Bi 0.000 0.622 0.250
Bi 0.500 0.123 0.750
Bi 0.500 0.378 0.250
Bi 0.500 0.622 0.750
Bi 0.500 0.877 0.250
Se 0.000 0.121 0.250
Se 0.000 0.879 0.750

Properties
E_form (uncorrected)	-0.78	eV/atom
final energy	-102.2	eV/cell
space group	P2/c
volume	518.2	Å³/cell
calculated density	10.47	g cm⁻³

First-principles (PBE-GGA) data for Th3Bi2Se after structural relaxation, as listed in Alexandria.

Cell lengths 7.718, 7.718, 7.764 Å; angles 99.54, 99.54, 119.87 degrees
Fractional positions:
Th 0.067 0.422 0.771
Th 0.214 0.214 0.214
Th 0.422 0.067 0.771
Th 0.578 0.933 0.229
Th 0.786 0.786 0.786
Th 0.933 0.578 0.229
Bi 0.000 0.000 0.500
Bi 0.345 0.655 0.500
Bi 0.500 0.500 0.000
Bi 0.655 0.345 0.500
Se 0.171 0.829 0.000
Se 0.829 0.171 0.000

Properties
E_form (uncorrected)	-0.88	eV/atom
final energy	-77.5	eV/cell
space group	C2/m
volume	378.5	Å³/cell
calculated density	10.47	g cm⁻³

First-principles (PBE-GGA) data for ThBiSe2 after structural relaxation, as listed in Alexandria.

Cell lengths 4.000, 4.000, 28.814 Å; angles 90.00, 90.00, 120.00 degrees
Fractional positions:
Th 0.000 0.000 0.000
Th 0.333 0.667 0.667
Th 0.667 0.333 0.333
Bi 0.000 0.000 0.500
Bi 0.333 0.667 0.167
Bi 0.667 0.333 0.833
Se 0.000 0.000 0.397
Se 0.000 0.000 0.603
Se 0.333 0.667 0.063
Se 0.333 0.667 0.270
Se 0.667 0.333 0.730
Se 0.667 0.333 0.937

Properties
E_form (uncorrected)	-0.93	eV/atom
final energy	-66.0	eV/cell
space group	R-3m
volume	399.3	Å³/cell
calculated density	7.47	g cm⁻³